# VGaFe2O6

A geometry-optimized VGaFe2O6 structure (PBE+U, Alexandria).

```
10
Lattice="5.180 0.051 0.001 2.635 4.362 -0.150 2.607 1.313 4.599" Properties=species:S:1:pos:R:3 pbc="T T T"
Fe 5.225 2.880 2.071
O 4.436 1.320 1.154
O 4.262 4.298 1.082
V 7.815 4.271 2.379
O 6.977 2.955 1.079
O 6.109 4.184 3.188
O 5.820 1.596 3.451
O 3.598 2.987 3.252
Fe 2.617 1.345 4.249
Ga 2.643 1.319 0.468
```

Summary:
- calculated total energy (eV/atom) = -6.68